Compound: CuReOs2
Source: Alexandria via LeMat-Bulk
Functional: PBE-GGA
Structure: relaxed

The calculation puts the polymorph energy (0 for the lowest one) at 73 meV/atom. The total energy is -9.50 eV per atom.

It has space group C2/m (No. 12), with a = 8.994 Å, b = 2.717 Å, c = 4.690 Å, α = 90.00°, β = 99.56° and γ = 90.00°. The distinct sites, in fractional coordinates, are Cu at (0.000, 0.000, 0.000), Re at (0.000, 0.500, 0.500) and Os at (0.243, 0.000, 0.748).